The following is a PBE calculation of an optimized crystal structure of RbSiN2, from Alexandria.

The theoretical density comes out at 2.21 g cm⁻³. The calculation puts the uncorrected formation energy at 609 meV per atom.

The structure belongs to space group R-3m (No. 166, hexagonal axes); the cell edges are 4.2655, 4.2655 and 20.2764 Å and the angles 90.00°, 90.00° and 120.00°. The inequivalent atoms are Rb at (0.0000, 0.0000, 0.0000), Si at (0.0000, 0.0000, 0.5000) and N at (0.0000, 0.0000, 0.4198).

The following is a PBE calculation of an optimized crystal structure of RbSiTeN2, from Alexandria.

The theoretical density comes out at 4.64 g cm⁻³. The calculation puts the uncorrected formation energy at 1113 meV per atom. The energy above the lowest structure with this stoichiometry comes out at 0.000 eV/atom.

The structure belongs to space group P4/mmm (No. 123); the cell edges are 4.2467, 4.2467 and 5.3433 Å and the angles 90.00°, 90.00° and 90.00°. The inequivalent atoms are Rb at (0.0000, 0.0000, 0.0000), Si at (0.5000, 0.5000, 0.5000), Te at (0.5000, 0.5000, 0.0000) and N at (0.0000, 0.5000, 0.5000).